No. 1
# PBE PrSiPt4, optimized geometry
data_PrSiPt4
_chemical_formula_sum 'Pr2 Si2 Pt8'
_cell_length_a 7.777
_cell_length_b 3.924
_cell_length_c 7.027
_cell_angle_alpha 90.00
_cell_angle_beta 90.00
_cell_angle_gamma 90.00
_space_group_name_H-M_alt 'P m m a'
_space_group_IT_number 51
_space_group_name_Hall '-P 2a 2a'
loop_
_atom_site_label
_atom_site_type_symbol
_atom_site_fract_x
_atom_site_fract_y
_atom_site_fract_z
Pr1 Pr 0.250 0.000 0.127
Si1 Si 0.250 0.000 0.703
Pt1 Pt 0.000 0.000 0.500
Pt2 Pt 0.060 0.500 0.807
Pt3 Pt 0.250 0.500 0.457
# Formation energy without anion corrections (meV/atom): -836
# V (Å³/cell): 214.43
# Energy above the most stable polymorph in this dataset (meV/atom): 49
# Spin magnetization (μB per atom): 0.000


No. 2
# PBE Pr3Si4Pt2, optimized geometry
data_Pr3Si4Pt2
_chemical_formula_sum 'Pr6 Si8 Pt4'
_cell_length_a 11.192
_cell_length_b 4.226
_cell_length_c 8.571
_cell_angle_alpha 90.00
_cell_angle_beta 110.24
_cell_angle_gamma 90.00
_space_group_name_H-M_alt 'C 1 2/m 1'
_space_group_IT_number 12
_space_group_name_Hall '-C 2y'
loop_
_atom_site_label
_atom_site_type_symbol
_atom_site_fract_x
_atom_site_fract_y
_atom_site_fract_z
Pr1 Pr 0.000 0.000 0.000
Pr2 Pr 0.112 0.500 0.686
Si1 Si 0.134 0.000 0.421
Si2 Si 0.229 0.500 0.062
Pt1 Pt 0.171 0.500 0.309
# Formation energy without anion corrections (meV/atom): -948
# V (Å³/cell): 380.36
# Energy above the most stable polymorph in this dataset (meV/atom): 71
# Spin magnetization (μB per atom): 0.000


No. 3
# PBE Pr2SiPt, optimized geometry
data_Pr2SiPt
_chemical_formula_sum 'Pr6 Si3 Pt3'
_cell_length_a 4.3577
_cell_length_b 4.3577
_cell_length_c 20.2746
_cell_angle_alpha 90.00
_cell_angle_beta 90.00
_cell_angle_gamma 120.00
_space_group_name_H-M_alt 'R -3 m'
_space_group_IT_number 166
_space_group_name_Hall '-R 3 2"'
loop_
_atom_site_label
_atom_site_type_symbol
_atom_site_fract_x
_atom_site_fract_y
_atom_site_fract_z
Pr1 Pr 0.0000 0.0000 0.2500
Si1 Si 0.0000 0.0000 0.0000
Pt1 Pt 0.0000 0.0000 0.5000
# Formation energy without anion corrections (meV/atom): -679
# V (Å³/cell): 333.43
# Spin magnetization (μB per atom): 0.000


No. 4
# PBE Pr6Si2Pt, optimized geometry
data_Pr6Si2Pt
_chemical_formula_sum 'Pr12 Si4 Pt2'
_cell_length_a 6.480
_cell_length_b 8.188
_cell_length_c 12.048
_cell_angle_alpha 90.00
_cell_angle_beta 121.90
_cell_angle_gamma 90.00
_space_group_name_H-M_alt 'P 1 21/c 1'
_space_group_IT_number 14
_space_group_name_Hall '-P 2ybc'
loop_
_atom_site_label
_atom_site_type_symbol
_atom_site_fract_x
_atom_site_fract_y
_atom_site_fract_z
Pr1 Pr 0.066 0.179 0.435
Pr2 Pr 0.292 0.668 0.442
Pr3 Pr 0.376 0.040 0.238
Si1 Si 0.175 0.118 0.751
Pt1 Pt 0.500 0.000 0.500
# Formation energy without anion corrections (meV/atom): -477
# V (Å³/cell): 542.72
# Spin magnetization (μB per atom): 0.000


No. 5
# PBE Pr2Si2Pt3, optimized geometry
data_Pr2Si2Pt3
_chemical_formula_sum 'Pr4 Si4 Pt6'
_cell_length_a 10.759
_cell_length_b 3.956
_cell_length_c 7.211
_cell_angle_alpha 90.00
_cell_angle_beta 116.57
_cell_angle_gamma 90.00
_space_group_name_H-M_alt 'C 1 2/m 1'
_space_group_IT_number 12
_space_group_name_Hall '-C 2y'
loop_
_atom_site_label
_atom_site_type_symbol
_atom_site_fract_x
_atom_site_fract_y
_atom_site_fract_z
Pr1 Pr 0.134 0.000 0.269
Si1 Si 0.149 0.000 0.726
Pt1 Pt 0.000 0.500 0.500
Pt2 Pt 0.132 0.500 0.932
# Formation energy without anion corrections (meV/atom): -1004
# V (Å³/cell): 274.48
# Spin magnetization (μB per atom): 0.000


No. 6
# PBE PrSi2Pt4, optimized geometry
data_PrSi2Pt4
_chemical_formula_sum 'Pr4 Si8 Pt16'
_cell_length_a 19.135
_cell_length_b 4.042
_cell_length_c 6.428
_cell_angle_alpha 90.00
_cell_angle_beta 90.00
_cell_angle_gamma 90.00
_space_group_name_H-M_alt 'P n m a'
_space_group_IT_number 62
_space_group_name_Hall '-P 2ac 2n'
loop_
_atom_site_label
_atom_site_type_symbol
_atom_site_fract_x
_atom_site_fract_y
_atom_site_fract_z
Pr1 Pr 0.137 0.250 0.007
Si1 Si 0.041 0.750 0.266
Si2 Si 0.198 0.250 0.573
Pt1 Pt 0.018 0.750 0.851
Pt2 Pt 0.067 0.250 0.535
Pt3 Pt 0.161 0.750 0.374
Pt4 Pt 0.235 0.750 0.758
# Formation energy without anion corrections (meV/atom): -859
# V (Å³/cell): 497.14
# Energy above the most stable polymorph in this dataset (meV/atom): 0
# Spin magnetization (μB per atom): 0.000


No. 7
# PBE Pr2SiPt6, optimized geometry
data_Pr2SiPt6
_chemical_formula_sum 'Pr2 Si1 Pt6'
_cell_length_a 5.7490
_cell_length_b 5.7490
_cell_length_c 5.9077
_cell_angle_alpha 90.00
_cell_angle_beta 90.00
_cell_angle_gamma 120.00
_space_group_name_H-M_alt 'P -3 m 1'
_space_group_IT_number 164
_space_group_name_Hall '-P 3 2"'
loop_
_atom_site_label
_atom_site_type_symbol
_atom_site_fract_x
_atom_site_fract_y
_atom_site_fract_z
Pr1 Pr 0.3333 0.6667 0.1620
Si1 Si 0.0000 0.0000 0.0000
Pt1 Pt 0.1702 0.3404 0.6976
# Formation energy without anion corrections (meV/atom): -986
# V (Å³/cell): 169.10
# Spin magnetization (μB per atom): 0.000


No. 8
# PBE Pr2SiPt6, optimized geometry
data_Pr2SiPt6
_chemical_formula_sum 'Pr4 Si2 Pt12'
_cell_length_a 9.893
_cell_length_b 5.742
_cell_length_c 6.181
_cell_angle_alpha 90.00
_cell_angle_beta 104.68
_cell_angle_gamma 90.00
_space_group_name_H-M_alt 'C 1 2/m 1'
_space_group_IT_number 12
_space_group_name_Hall '-C 2y'
loop_
_atom_site_label
_atom_site_type_symbol
_atom_site_fract_x
_atom_site_fract_y
_atom_site_fract_z
Pr1 Pr 0.142 0.000 0.349
Si1 Si 0.000 0.500 0.500
Pt1 Pt 0.120 0.500 0.200
Pt2 Pt 0.135 0.246 0.807
# Formation energy without anion corrections (meV/atom): -985
# V (Å³/cell): 339.62
# Spin magnetization (μB per atom): 0.000


No. 9
# PBE Pr2Si7Pt12, optimized geometry
data_Pr2Si7Pt12
_chemical_formula_sum 'Pr2 Si7 Pt12'
_cell_length_a 10.0002
_cell_length_b 10.0002
_cell_length_c 3.9974
_cell_angle_alpha 90.00
_cell_angle_beta 90.00
_cell_angle_gamma 120.00
_space_group_name_H-M_alt 'P -6'
_space_group_IT_number 174
_space_group_name_Hall 'P -6'
loop_
_atom_site_label
_atom_site_type_symbol
_atom_site_fract_x
_atom_site_fract_y
_atom_site_fract_z
Pr1 Pr 0.0000 0.0000 0.0000
Pr2 Pr 0.3333 0.6667 0.5000
Si1 Si 0.0682 0.6225 0.0000
Si2 Si 0.2646 0.0474 0.5000
Si3 Si 0.6667 0.3333 0.5000
Pt1 Pt 0.0479 0.7845 0.5000
Pt2 Pt 0.1174 0.4034 0.0000
Pt3 Pt 0.4079 0.2193 0.0000
Pt4 Pt 0.5157 0.0647 0.5000
# Formation energy without anion corrections (meV/atom): -883
# V (Å³/cell): 346.20
# Spin magnetization (μB per atom): 0.000


No. 10
# PBE Pr3Si4Pt7, optimized geometry
data_Pr3Si4Pt7
_chemical_formula_sum 'Pr6 Si8 Pt14'
_cell_length_a 15.815
_cell_length_b 4.125
_cell_length_c 9.658
_cell_angle_alpha 90.00
_cell_angle_beta 125.74
_cell_angle_gamma 90.00
_space_group_name_H-M_alt 'C 1 2/m 1'
_space_group_IT_number 12
_space_group_name_Hall '-C 2y'
loop_
_atom_site_label
_atom_site_type_symbol
_atom_site_fract_x
_atom_site_fract_y
_atom_site_fract_z
Pr1 Pr 0.000 0.000 0.000
Pr2 Pr 0.173 0.500 0.671
Si1 Si 0.110 0.000 0.825
Si2 Si 0.168 0.500 0.278
Pt1 Pt 0.000 0.000 0.500
Pt2 Pt 0.008 0.500 0.264
Pt3 Pt 0.169 0.000 0.418
Pt4 Pt 0.194 0.500 0.043
# Formation energy without anion corrections (meV/atom): -1019
# V (Å³/cell): 511.42
# Spin magnetization (μB per atom): 0.000


No. 11
# PBE PrSi2Pt4, optimized geometry
data_PrSi2Pt4
_chemical_formula_sum 'Pr2 Si4 Pt8'
_cell_length_a 4.157
_cell_length_b 14.035
_cell_length_c 4.156
_cell_angle_alpha 90.00
_cell_angle_beta 90.00
_cell_angle_gamma 90.00
_space_group_name_H-M_alt 'C m m m'
_space_group_IT_number 65
_space_group_name_Hall '-C 2 2'
loop_
_atom_site_label
_atom_site_type_symbol
_atom_site_fract_x
_atom_site_fract_y
_atom_site_fract_z
Pr1 Pr 0.000 0.000 0.000
Si1 Si 0.000 0.413 0.500
Pt1 Pt 0.000 0.176 0.500
Pt2 Pt 0.000 0.327 0.000
# Formation energy without anion corrections (meV/atom): -840
# V (Å³/cell): 242.47
# Energy above the most stable polymorph in this dataset (meV/atom): 19
# Spin magnetization (μB per atom): 0.000


No. 12
# PBE PrSi3Pt, optimized geometry
data_PrSi3Pt
_chemical_formula_sum 'Pr4 Si12 Pt4'
_cell_length_a 4.173
_cell_length_b 21.759
_cell_length_c 4.223
_cell_angle_alpha 90.00
_cell_angle_beta 90.00
_cell_angle_gamma 90.00
_space_group_name_H-M_alt 'C m m m'
_space_group_IT_number 65
_space_group_name_Hall '-C 2 2'
loop_
_atom_site_label
_atom_site_type_symbol
_atom_site_fract_x
_atom_site_fract_y
_atom_site_fract_z
Pr1 Pr 0.000 0.170 0.000
Si1 Si 0.000 0.054 0.500
Si2 Si 0.000 0.279 0.500
Si3 Si 0.000 0.446 0.000
Pt1 Pt 0.000 0.391 0.500
# Formation energy without anion corrections (meV/atom): -748
# V (Å³/cell): 383.41
# Spin magnetization (μB per atom): 0.000


No. 13
# PBE PrSi3Pt6, optimized geometry
data_PrSi3Pt6
_chemical_formula_sum 'Pr3 Si9 Pt18'
_cell_length_a 6.3279
_cell_length_b 6.3279
_cell_length_c 15.9087
_cell_angle_alpha 90.00
_cell_angle_beta 90.00
_cell_angle_gamma 120.00
_space_group_name_H-M_alt 'R 3'
_space_group_IT_number 146
_space_group_name_Hall 'R 3'
loop_
_atom_site_label
_atom_site_type_symbol
_atom_site_fract_x
_atom_site_fract_y
_atom_site_fract_z
Pr1 Pr 0.0000 0.0000 0.0000
Si1 Si 0.0000 0.0000 0.2439
Si2 Si 0.0000 0.0000 0.6213
Si3 Si 0.0000 0.0000 0.7946
Pt1 Pt 0.0343 0.4758 0.0304
Pt2 Pt 0.0473 0.3729 0.1906
# Formation energy without anion corrections (meV/atom): -768
# V (Å³/cell): 551.68
# Spin magnetization (μB per atom): 0.000


No. 14
# PBE PrSiPt6, optimized geometry
data_PrSiPt6
_chemical_formula_sum 'Pr3 Si3 Pt18'
_cell_length_a 5.5695
_cell_length_b 5.5695
_cell_length_c 18.0715
_cell_angle_alpha 90.00
_cell_angle_beta 90.00
_cell_angle_gamma 120.00
_space_group_name_H-M_alt 'R -3 m'
_space_group_IT_number 166
_space_group_name_Hall '-R 3 2"'
loop_
_atom_site_label
_atom_site_type_symbol
_atom_site_fract_x
_atom_site_fract_y
_atom_site_fract_z
Pr1 Pr 0.0000 0.0000 0.0000
Si1 Si 0.0000 0.0000 0.5000
Pt1 Pt 0.0124 0.5062 0.9232
# Formation energy without anion corrections (meV/atom): -516
# V (Å³/cell): 485.47
# Spin magnetization (μB per atom): 0.000


No. 15
# PBE Pr3SiPt3, optimized geometry
data_Pr3SiPt3
_chemical_formula_sum 'Pr12 Si4 Pt12'
_cell_length_a 10.835
_cell_length_b 4.230
_cell_length_c 15.133
_cell_angle_alpha 90.00
_cell_angle_beta 110.35
_cell_angle_gamma 90.00
_space_group_name_H-M_alt 'C 1 2/m 1'
_space_group_IT_number 12
_space_group_name_Hall '-C 2y'
loop_
_atom_site_label
_atom_site_type_symbol
_atom_site_fract_x
_atom_site_fract_y
_atom_site_fract_z
Pr1 Pr 0.025 0.000 0.386
Pr2 Pr 0.101 0.000 0.923
Pr3 Pr 0.249 0.000 0.231
Si1 Si 0.238 0.500 0.401
Pt1 Pt 0.046 0.500 0.243
Pt2 Pt 0.124 0.500 0.078
Pt3 Pt 0.149 0.500 0.546
# Formation energy without anion corrections (meV/atom): -1062
# V (Å³/cell): 650.25
# Spin magnetization (μB per atom): 0.000


No. 16
# PBE Pr8SiPt2, optimized geometry
data_Pr8SiPt2
_chemical_formula_sum 'Pr16 Si2 Pt4'
_cell_length_a 8.646
_cell_length_b 13.180
_cell_length_c 6.533
_cell_angle_alpha 90.00
_cell_angle_beta 111.61
_cell_angle_gamma 90.00
_space_group_name_H-M_alt 'C 1 m 1'
_space_group_IT_number 8
_space_group_name_Hall 'C -2y'
loop_
_atom_site_label
_atom_site_type_symbol
_atom_site_fract_x
_atom_site_fract_y
_atom_site_fract_z
Pr1 Pr 0.000 0.000 0.000
Pr2 Pr 0.076 0.366 0.818
Pr3 Pr 0.146 0.131 0.586
Pr4 Pr 0.207 0.500 0.375
Pr5 Pr 0.361 0.206 0.202
Si1 Si 0.355 0.000 0.985
Pt1 Pt 0.358 0.316 0.688
# Formation energy without anion corrections (meV/atom): -426
# V (Å³/cell): 692.19
# Spin magnetization (μB per atom): 0.000


No. 17
# PBE PrSmSi2Pt5, optimized geometry
data_PrSmSi2Pt5
_chemical_formula_sum 'Pr1 Sm1 Si2 Pt5'
_cell_length_a 4.273
_cell_length_b 4.273
_cell_length_c 9.022
_cell_angle_alpha 90.00
_cell_angle_beta 90.00
_cell_angle_gamma 90.00
_space_group_name_H-M_alt 'P 4/m m m'
_space_group_IT_number 123
_space_group_name_Hall '-P 4 2'
loop_
_atom_site_label
_atom_site_type_symbol
_atom_site_fract_x
_atom_site_fract_y
_atom_site_fract_z
Pr1 Pr 0.000 0.000 0.000
Sm1 Sm 0.000 0.000 0.500
Si1 Si 0.500 0.500 0.367
Pt1 Pt 0.000 0.500 0.240
Pt2 Pt 0.500 0.500 0.000
# Formation energy without anion corrections (meV/atom): -1024
# V (Å³/cell): 164.70
# Spin magnetization (μB per atom): 0.000


No. 18
# PBE PrSm2Si2Pt7, optimized geometry
data_PrSm2Si2Pt7
_chemical_formula_sum 'Pr2 Sm4 Si4 Pt14'
_cell_length_a 5.861
_cell_length_b 5.786
_cell_length_c 13.912
_cell_angle_alpha 90.00
_cell_angle_beta 98.23
_cell_angle_gamma 90.00
_space_group_name_H-M_alt 'C 1 2/m 1'
_space_group_IT_number 12
_space_group_name_Hall '-C 2y'
loop_
_atom_site_label
_atom_site_type_symbol
_atom_site_fract_x
_atom_site_fract_y
_atom_site_fract_z
Pr1 Pr 0.000 0.000 0.000
Sm1 Sm 0.109 0.000 0.358
Si1 Si 0.090 0.500 0.257
Pt1 Pt 0.000 0.500 0.000
Pt2 Pt 0.123 0.500 0.426
Pt3 Pt 0.191 0.251 0.834
# Formation energy without anion corrections (meV/atom): -1044
# V (Å³/cell): 466.91
# Spin magnetization (μB per atom): 0.000


No. 19
# PBE PrSmSiPt, optimized geometry
data_PrSmSiPt
_chemical_formula_sum 'Pr2 Sm2 Si2 Pt2'
_cell_length_a 4.227
_cell_length_b 4.168
_cell_length_c 11.094
_cell_angle_alpha 90.00
_cell_angle_beta 90.00
_cell_angle_gamma 90.00
_space_group_name_H-M_alt 'A m m 2'
_space_group_IT_number 38
_space_group_name_Hall 'A 2 -2'
loop_
_atom_site_label
_atom_site_type_symbol
_atom_site_fract_x
_atom_site_fract_y
_atom_site_fract_z
Pr1 Pr 0.000 0.000 0.000
Sm1 Sm 0.500 0.000 0.280
Si1 Si 0.500 0.000 0.573
Pt1 Pt 0.000 0.000 0.719
# Formation energy without anion corrections (meV/atom): -936
# V (Å³/cell): 195.43
# Spin magnetization (μB per atom): 0.000


No. 20
# PBE Pr2Si3SnPt4, optimized geometry
data_Pr2Si3SnPt4
_chemical_formula_sum 'Pr2 Si3 Sn1 Pt4'
_cell_length_a 4.351
_cell_length_b 4.351
_cell_length_c 10.205
_cell_angle_alpha 90.00
_cell_angle_beta 90.00
_cell_angle_gamma 90.00
_space_group_name_H-M_alt 'P -4 m 2'
_space_group_IT_number 115
_space_group_name_Hall 'P -4 -2'
loop_
_atom_site_label
_atom_site_type_symbol
_atom_site_fract_x
_atom_site_fract_y
_atom_site_fract_z
Pr1 Pr 0.000 0.500 0.241
Si1 Si 0.000 0.500 0.878
Si2 Si 0.500 0.500 0.500
Sn1 Sn 0.000 0.000 0.500
Pt1 Pt 0.000 0.000 0.000
Pt2 Pt 0.000 0.500 0.643
Pt3 Pt 0.500 0.500 0.000
# Formation energy without anion corrections (meV/atom): -1003
# V (Å³/cell): 193.23
# Spin magnetization (μB per atom): 0.000


No. 21
# PBE Pr3Si2Sn2Pt4, optimized geometry
data_Pr3Si2Sn2Pt4
_chemical_formula_sum 'Pr3 Si2 Sn2 Pt4'
_cell_length_a 4.5081
_cell_length_b 4.5081
_cell_length_c 13.9355
_cell_angle_alpha 90.00
_cell_angle_beta 90.00
_cell_angle_gamma 120.00
_space_group_name_H-M_alt 'P -3 m 1'
_space_group_IT_number 164
_space_group_name_Hall '-P 3 2"'
loop_
_atom_site_label
_atom_site_type_symbol
_atom_site_fract_x
_atom_site_fract_y
_atom_site_fract_z
Pr1 Pr 0.0000 0.0000 0.0000
Pr2 Pr 0.0000 0.0000 0.2656
Si1 Si 0.3333 0.6667 0.1512
Sn1 Sn 0.3333 0.6667 0.5645
Pt1 Pt 0.3333 0.6667 0.3678
Pt2 Pt 0.3333 0.6667 0.8690
# Formation energy without anion corrections (meV/atom): -941
# V (Å³/cell): 245.26
# Spin magnetization (μB per atom): 0.000